DFT (PBE) results for a relaxed CrTcGe2 crystal.

## Properties
The value obtained for the raw total energy is -6.6236 eV/atom. Its space-group type is Immm, No. 71. The formation energy is 0.682 eV/atom.

Cell lengths 5.7459, 5.7459, 5.7459 Å; angles 56.18, 150.29, 133.48 degrees
Sites, in units of the cell vectors:
1 Cr 0.0000 0.0000 0.0000
2 Tc 0.0000 0.5000 0.5000
3 Ge 0.0000 0.2486 0.2486
4 Ge 0.0000 0.7514 0.7514